{
  "formula": "HgOsRu2",
  "functional": "PBE-GGA",
  "state": "optimized geometry",
  "total_energy_ev_per_atom": -6.859,
  "lattice": [[-1.3926, 2.3081, 5.0378], [1.3926, -2.3081, 5.0378], [1.3926, 2.3081, -5.0378]],
  "species": ["Hg", "Os", "Ru", "Ru"],
  "fractional_positions": [[0.0000, 0.0000, 0.0000], [0.2686, 0.7686, 0.5000], [0.4796, 0.4796, 0.0000], [0.7106, 0.2106, 0.5000]]
}

=====

{
  "formula": "HgOsRu2",
  "functional": "PBE-GGA",
  "state": "optimized geometry",
  "total_energy_ev_per_atom": -6.966,
  "lattice": [[4.6401, -1.4021, 0.0000], [4.6401, 1.4021, 0.0000], [-0.8721, 0.0000, 4.8119]],
  "species": ["Hg", "Os", "Ru", "Ru"],
  "fractional_positions": [[0.0000, 0.0000, 0.0000], [0.2360, 0.2360, 0.6995], [0.4976, 0.4976, 0.5055], [0.7605, 0.7605, 0.2571]]
}

=====

{
  "formula": "Th6Hg3Os2Ru",
  "functional": "PBE-GGA",
  "state": "optimized geometry",
  "total_energy_ev_per_atom": -6.791,
  "lattice": [[3.5682, -6.1809, 0.0000], [3.5682, 6.1809, 0.0000], [-2.3764, 0.0000, 7.8590]],
  "species": ["Th", "Th", "Th", "Th", "Th", "Th", "Hg", "Hg", "Hg", "Os", "Os", "Ru"],
  "fractional_positions": [[0.0656, 0.3980, 0.1960], [0.2670, 0.2670, 0.8035], [0.3980, 0.0656, 0.1960], [0.6020, 0.9344, 0.8040], [0.7330, 0.7330, 0.1965], [0.9344, 0.6020, 0.8040], [0.1676, 0.8324, 0.5000], [0.5000, 0.5000, 0.5000], [0.8324, 0.1676, 0.5000], [0.3333, 0.6667, 0.0000], [0.6667, 0.3333, 0.0000], [0.0000, 0.0000, 0.0000]]
}

=====

{
  "formula": "Ti2HgOsRu",
  "functional": "PBE-GGA",
  "state": "optimized geometry",
  "total_energy_ev_per_atom": -6.248,
  "lattice": [[4.5997, 0.0000, 0.0000], [0.0000, 4.5997, 0.0000], [0.0000, 0.0000, 5.0908]],
  "species": ["Ti", "Ti", "Hg", "Os", "Ru"],
  "fractional_positions": [[0.0000, 0.5000, 0.0000], [0.5000, 0.0000, 0.0000], [0.0000, 0.0000, 0.5000], [0.0000, 0.0000, 0.0000], [0.5000, 0.5000, 0.5000]]
}

=====

{
  "formula": "Hg3OsS",
  "functional": "PBE-GGA",
  "state": "optimized geometry",
  "polymorph_energy_mev_per_atom": 446.8,
  "raw_formation_energy_ev_per_fu": 7.6,
  "lattice": [[5.0914, 0.0000, 0.0000], [0.0000, 5.0914, 0.0000], [0.0000, 0.0000, 5.0914]],
  "species": ["Hg", "Hg", "Hg", "Os", "S"],
  "fractional_positions": [[0.0000, 0.0000, 0.5000], [0.0000, 0.5000, 0.0000], [0.5000, 0.0000, 0.0000], [0.5000, 0.5000, 0.5000], [0.0000, 0.0000, 0.0000]]
}

=====

{
  "formula": "HgOs3S",
  "functional": "PBE-GGA",
  "state": "optimized geometry",
  "polymorph_energy_mev_per_atom": 2269.4,
  "raw_formation_energy_ev_per_fu": 17.3,
  "lattice": [[5.0127, 0.0000, 0.0000], [0.0000, 5.0127, 0.0000], [0.0000, 0.0000, 5.0127]],
  "species": ["Hg", "Os", "Os", "Os", "S"],
  "fractional_positions": [[0.0000, 0.0000, 0.0000], [0.0000, 0.0000, 0.5000], [0.0000, 0.5000, 0.0000], [0.5000, 0.0000, 0.0000], [0.5000, 0.5000, 0.5000]]
}

=====

DOS at the Fermi energy in states/eV per cell, matching the order above: 3.9 5.5 7.7 6.9 6.0 5.4